# 1
This record from Alexandria via LeMat-Bulk describes Y4Ho3Er5 after structural relaxation. The functional is GGA-PBE.

The structure belongs to space group P-1 (No. 2); the cell edges are 6.115, 7.074 and 8.646 Å and the angles 89.98°, 89.96° and 89.91°. Symmetry generates all atoms from Y at (0.166, 0.251, 0.333), Y at (0.333, 0.000, 0.668), Ho at (0.000, 0.500, 0.000), Ho at (0.167, 0.749, 0.332), Er at (0.000, 0.000, 0.000), Er at (0.334, 0.500, 0.667) and Er at (0.499, 0.749, 0.000).

Its spin magnetization is 0.0 Bohr magnetons per cell. For the density of states at the Fermi level, the calculation gives 16.6 states/eV/cell.



# 2
This record from Alexandria via LeMat-Bulk describes YHo5Er12 after structural relaxation. The functional is GGA-PBE.

The structure belongs to space group Cmmm (No. 65); the cell edges are 14.906, 14.939 and 4.965 Å and the angles 90.00°, 90.00° and 90.00°. Symmetry generates all atoms from Y at (0.000, 0.000, 0.000), Ho at (0.000, 0.167, 0.500), Ho at (0.000, 0.333, 0.000), Ho at (0.000, 0.500, 0.500), Er at (0.167, 0.167, 0.000), Er at (0.167, 0.333, 0.500), Er at (0.167, 0.500, 0.000) and Er at (0.168, 0.000, 0.500).

Its spin magnetization is 0.0 Bohr magnetons per cell. For the density of states at the Fermi level, the calculation gives 50.6 states/eV/cell.



# 3
This record from Alexandria via LeMat-Bulk describes Y8HoEr4 after structural relaxation. The functional is GGA-PBE.

The structure belongs to space group R-3m (No. 166, hexagonal axes); the cell edges are 7.2534, 7.2534 and 27.5062 Å and the angles 90.00°, 90.00° and 120.00°. Symmetry generates all atoms from Y at (0.0000, 0.0000, 0.2149), Y at (0.0323, 0.5161, 0.7662), Ho at (0.0000, 0.0000, 0.5000), Er at (0.0000, 0.0000, 0.0000) and Er at (0.0000, 0.5000, 0.0000).

Its spin magnetization is 0.0 Bohr magnetons per cell. For the density of states at the Fermi level, the calculation gives 51.6 states/eV/cell.



# 4
This record from Alexandria via LeMat-Bulk describes Y6HoEr12 after structural relaxation. The functional is GGA-PBE.

The structure belongs to space group R-3 (No. 148, hexagonal axes); the cell edges are 12.2504, 12.2504 and 14.0938 Å and the angles 90.00°, 90.00° and 120.00°. Symmetry generates all atoms from Y at (0.0261, 0.5893, 0.2126), Ho at (0.0000, 0.0000, 0.5000), Er at (0.0493, 0.8676, 0.3063) and Er at (0.0673, 0.1948, 0.9054).

Its spin magnetization is 0.0 Bohr magnetons per cell. For the density of states at the Fermi level, the calculation gives 121.5 states/eV/cell.



# 5
This record from Alexandria via LeMat-Bulk describes Y8Ho3Er4 after structural relaxation. The functional is GGA-PBE.

The structure belongs to space group C2/m (No. 12); the cell edges are 13.354, 12.797 and 6.717 Å and the angles 90.00°, 120.18° and 90.00°. Symmetry generates all atoms from Y at (0.000, 0.143, 0.000), Y at (0.000, 0.250, 0.500), Y at (0.233, 0.000, 0.471), Y at (0.235, 0.000, 0.993), Ho at (0.000, 0.000, 0.500), Ho at (0.250, 0.250, 0.500), Er at (0.000, 0.500, 0.000), Er at (0.000, 0.500, 0.500) and Er at (0.250, 0.250, 0.000).

Its spin magnetization is 0.0 Bohr magnetons per cell. For the density of states at the Fermi level, the calculation gives 61.3 states/eV/cell.



# 6
This record from Alexandria via LeMat-Bulk describes Y2Ho5Er after structural relaxation. The functional is GGA-PBE.

The structure belongs to space group P-1 (No. 2); the cell edges are 6.852, 8.599 and 9.084 Å and the angles 89.60°, 89.87° and 72.17°. Symmetry generates all atoms from Y at (0.116, 0.124, 0.402), Y at (0.221, 0.871, 0.934), Ho at (0.061, 0.750, 0.262), Ho at (0.179, 0.316, 0.082), Ho at (0.205, 0.485, 0.569), Ho at (0.413, 0.789, 0.572), Ho at (0.474, 0.485, 0.833) and Er at (0.461, 0.110, 0.775).

Its spin magnetization is 0.0 Bohr magnetons per cell. For the density of states at the Fermi level, the calculation gives 20.2 states/eV/cell.



# 7
This record from Alexandria via LeMat-Bulk describes Y7Ho2Er3 after structural relaxation. The functional is GGA-PBE.

The structure belongs to space group P2/m (No. 10); the cell edges are 6.195, 5.498 and 11.978 Å and the angles 90.00°, 91.07° and 90.00°. Symmetry generates all atoms from Y at (0.000, 0.000, 0.000), Y at (0.087, 0.500, 0.169), Y at (0.237, 0.500, 0.454), Y at (0.440, 0.000, 0.180), Ho at (0.393, 0.500, 0.723), Er at (0.055, 0.000, 0.660) and Er at (0.500, 0.500, 0.000).

Its spin magnetization is 0.0 Bohr magnetons per cell. For the density of states at the Fermi level, the calculation gives 20.8 states/eV/cell.



# 8
This record from Alexandria via LeMat-Bulk describes YHo5Er3 after structural relaxation. The functional is GGA-PBE.

The structure belongs to space group C2/m (No. 12); the cell edges are 15.045, 11.320 and 9.877 Å and the angles 90.00°, 130.20° and 90.00°. Symmetry generates all atoms from Y at (0.248, 0.000, 0.099), Ho at (0.000, 0.241, 0.500), Ho at (0.149, 0.248, 0.250), Ho at (0.222, 0.000, 0.732), Ho at (0.222, 0.500, 0.537), Er at (0.000, 0.000, 0.000), Er at (0.000, 0.500, 0.500), Er at (0.011, 0.000, 0.318) and Er at (0.020, 0.500, 0.862).

Its spin magnetization is 0.0 Bohr magnetons per cell. For the density of states at the Fermi level, the calculation gives 49.6 states/eV/cell.



Number 1: ΔH_f (0 K) 0.3 eV/f.u.. Number 2: ΔH_f (0 K) 0.4 eV/f.u.. Number 3: ΔH_f (0 K) 2.9 eV/f.u.. Number 4: ΔH_f (0 K) 3.5 eV/f.u.. Number 5: ΔH_f (0 K) 6.1 eV/f.u.. Number 6: ΔH_f (0 K) 1.2 eV/f.u.. Number 7: ΔH_f (0 K) 3.8 eV/f.u.. Number 8: ΔH_f (0 K) 4.8 eV/f.u..